DFT (GGA-PBE) results for a geometry-optimized Al2TePt structure.

Formation energy from raw total energies   -0.34 eV/atom
D(E_F)   1.9 states/eV per cell
M_tot   0.00 μB/atom
E   -4.505 eV per atom

Lattice parameters (Å, degrees): 5.262 5.262 14.488 90.00 90.00 90.00
Space group I-42d (No. 122)
Unique sites:
Al 0.168 0.250 0.125 x8
Te 0.000 0.000 0.500 x4
Pt 0.000 0.000 0.000 x4